(1)
This record from the Alexandria database describes NiAgClF2 after structural relaxation. The functional is PBE+U.

Computed properties:
- space-group type = P4/mmm
- E_tot (eV for the cell shown) = -17.59
- mass density (g/cm3) = 5.0

```
NiAgClF2
1.0
3.937 0.000 0.000
0.000 3.937 0.000
0.000 0.000 5.092
Ni Ag Cl F
1 1 1 2
direct
0.000 0.000 0.000
0.500 0.500 0.500
0.000 0.000 0.500
0.000 0.500 0.000
0.500 0.000 0.000
```

---

(2)
This record from the Alexandria database describes NiAg3Cl2F6 after structural relaxation. The functional is PBE+U.

Computed properties:
- space-group type = C2/m
- E_tot (eV for the cell shown) = -39.40
- mass density (g/cm3) = 4.8

```
NiAg3Cl2F6
1.0
6.312 -3.102 0.000
6.312 3.102 0.000
-0.461 0.000 5.039
Ni Ag Cl F
1 3 2 6
direct
0.000 0.000 0.000
0.000 0.500 0.000
0.500 0.000 0.000
0.500 0.500 0.500
0.305 0.305 0.673
0.695 0.695 0.327
0.146 0.146 0.180
0.187 0.698 0.226
0.302 0.813 0.774
0.698 0.187 0.226
0.813 0.302 0.774
0.854 0.854 0.820
```